The following is a PBE calculation of an optimized crystal structure of Ta2TeAu, from OQMD.

abc: 4.816 4.816 4.816
angles: 60.00 60.00 60.00
Sites, in units of the cell vectors:
Ta (0.000, 0.000, 0.000)
Ta (0.250, 0.250, 0.250)
Te (0.500, 0.500, 0.500)
Au (0.750, 0.750, 0.750)

Output
* DFT total energy: -6.9239 eV/atom